Entry from Alexandria via LeMat-Bulk: SrIrPdS2 at its PBEsol-relaxed geometry (SCAN).

Cell lengths 5.2381, 5.2381, 4.9242 Å; angles 90.00, 90.00, 90.00 degrees
Atoms (fractional coordinates):
1 Sr 0.0000 0.0000 0.0000
2 Ir 0.5000 0.5000 0.5000
3 Pd 0.0000 0.0000 0.5000
4 S 0.0000 0.5000 0.0000
5 S 0.5000 0.0000 0.0000

Calculated values
The value obtained for the volume is 27.02 Å³/atom. Its space group is P4/mmm. As for the formation energy (no corrections): 35.02 kcal/mol of atoms.

---

Entry from Alexandria via LeMat-Bulk: Sb3IrPd at its PBEsol-relaxed geometry (SCAN).

Cell lengths 5.0626, 5.0626, 5.0626 Å; angles 90.00, 90.00, 90.00 degrees
Atoms (fractional coordinates):
1 Sb 0.0000 0.0000 0.5000
2 Sb 0.0000 0.5000 0.0000
3 Sb 0.5000 0.0000 0.0000
4 Ir 0.0000 0.0000 0.0000
5 Pd 0.5000 0.5000 0.5000

Calculated values
The value obtained for the volume is 25.95 Å³/atom. Its space group is Pm-3m. As for the formation energy (no corrections): 15.47 kcal/mol of atoms.

---

Entry from Alexandria via LeMat-Bulk: Sc2IrPd at its PBEsol-relaxed geometry (SCAN).

Cell lengths 4.5569, 4.5569, 4.5569 Å; angles 60.00, 60.00, 60.00 degrees
Atoms (fractional coordinates):
1 Sc 0.2500 0.2500 0.2500
2 Sc 0.7500 0.7500 0.7500
3 Ir 0.0000 0.0000 0.0000
4 Pd 0.5000 0.5000 0.5000

Calculated values
The total DFT energy (no corrections) is -34.245 eV/atom. The value obtained for the volume is 16.73 Å³/atom. Its space group is Fm-3m.

---

Entry from Alexandria via LeMat-Bulk: SiIrPdSe2 at its PBEsol-relaxed geometry (SCAN).

Cell lengths 4.7317, 4.7317, 4.8551 Å; angles 90.00, 90.00, 90.00 degrees
Atoms (fractional coordinates):
1 Si 0.0000 0.0000 0.0000
2 Ir 0.5000 0.5000 0.0000
3 Pd 0.5000 0.5000 0.5000
4 Se 0.0000 0.5000 0.5000
5 Se 0.5000 0.0000 0.5000

Calculated values
The value obtained for the volume is 21.74 Å³/atom. Its space group is P4/mmm. As for the formation energy (no corrections): 29.94 kcal/mol of atoms.

---

Entry from Alexandria via LeMat-Bulk: SiIrPd3 at its PBEsol-relaxed geometry (SCAN).

Cell lengths 4.3498, 4.3498, 4.3498 Å; angles 90.00, 90.00, 90.00 degrees
Atoms (fractional coordinates):
1 Si 0.0000 0.0000 0.0000
2 Ir 0.5000 0.5000 0.5000
3 Pd 0.0000 0.0000 0.5000
4 Pd 0.0000 0.5000 0.0000
5 Pd 0.5000 0.0000 0.0000

Calculated values
The value obtained for the volume is 16.46 Å³/atom. Its space group is Pm-3m. As for the formation energy (no corrections): 14.70 kcal/mol of atoms.

---

Entry from Alexandria via LeMat-Bulk: Si2Ir2Pd at its PBEsol-relaxed geometry (SCAN).

Cell lengths 6.9964, 6.9964, 2.7723 Å; angles 90.00, 90.00, 90.00 degrees
Atoms (fractional coordinates):
1 Si 0.1527 0.3473 0.0000
2 Si 0.3473 0.8473 0.0000
3 Si 0.6527 0.1527 0.0000
4 Si 0.8473 0.6527 0.0000
5 Ir 0.1440 0.6440 0.5000
6 Ir 0.3560 0.1440 0.5000
7 Ir 0.6440 0.8560 0.5000
8 Ir 0.8560 0.3560 0.5000
9 Pd 0.0000 0.0000 0.0000
10 Pd 0.5000 0.5000 0.0000

Calculated values
The value obtained for the volume is 13.57 Å³/atom. Its space group is P4/mbm. As for the formation energy (no corrections): -14.41 kcal/mol of atoms.

---

Entry from Alexandria via LeMat-Bulk: SnIrPd3 at its PBEsol-relaxed geometry (SCAN).

Cell lengths 4.7354, 4.7354, 4.7354 Å; angles 90.00, 90.00, 90.00 degrees
Atoms (fractional coordinates):
1 Sn 0.0000 0.0000 0.0000
2 Ir 0.5000 0.5000 0.5000
3 Pd 0.0000 0.0000 0.5000
4 Pd 0.0000 0.5000 0.0000
5 Pd 0.5000 0.0000 0.0000

Calculated values
The total DFT energy (no corrections) is -39.657 eV/atom. The value obtained for the volume is 21.24 Å³/atom. Its space group is Pm-3m.

---

Entry from Alexandria via LeMat-Bulk: SrIrPd3 at its PBEsol-relaxed geometry (SCAN).

Cell lengths 4.8457, 4.8457, 4.8457 Å; angles 90.00, 90.00, 90.00 degrees
Atoms (fractional coordinates):
1 Sr 0.0000 0.0000 0.0000
2 Ir 0.5000 0.5000 0.5000
3 Pd 0.0000 0.5000 0.5000
4 Pd 0.5000 0.0000 0.5000
5 Pd 0.5000 0.5000 0.0000

Calculated values
The total DFT energy (no corrections) is -38.021 eV/atom. The value obtained for the volume is 22.76 Å³/atom. Its space group is Pm-3m.

---

Entry from Alexandria via LeMat-Bulk: TcIrPd3 at its PBEsol-relaxed geometry (SCAN).

Cell lengths 4.5588, 4.5588, 4.5588 Å; angles 90.00, 90.00, 90.00 degrees
Atoms (fractional coordinates):
1 Tc 0.0000 0.0000 0.0000
2 Ir 0.5000 0.5000 0.5000
3 Pd 0.0000 0.0000 0.5000
4 Pd 0.0000 0.5000 0.0000
5 Pd 0.5000 0.0000 0.0000

Calculated values
The total DFT energy (no corrections) is -39.035 eV/atom. The value obtained for the volume is 18.95 Å³/atom. Its space group is Pm-3m.

---

Entry from Alexandria via LeMat-Bulk: TcIr2Pd at its PBEsol-relaxed geometry (SCAN).

Cell lengths 4.3397, 4.3397, 4.3397 Å; angles 60.00, 60.00, 60.00 degrees
Atoms (fractional coordinates):
1 Tc 0.0000 0.0000 0.0000
2 Ir 0.2500 0.2500 0.2500
3 Ir 0.7500 0.7500 0.7500
4 Pd 0.5000 0.5000 0.5000

Calculated values
The total DFT energy (no corrections) is -52.135 eV/atom. The value obtained for the volume is 14.45 Å³/atom. Its space group is Fm-3m.

---

What did the seventh record say?
Entry from Alexandria via LeMat-Bulk: SnIrPd3 at its PBEsol-relaxed geometry (SCAN).

Cell lengths 4.7354, 4.7354, 4.7354 Å; angles 90.00, 90.00, 90.00 degrees
Atoms (fractional coordinates):
1 Sn 0.0000 0.0000 0.0000
2 Ir 0.5000 0.5000 0.5000
3 Pd 0.0000 0.0000 0.5000
4 Pd 0.0000 0.5000 0.0000
5 Pd 0.5000 0.0000 0.0000

Calculated values
The total DFT energy (no corrections) is -39.657 eV/atom. The value obtained for the volume is 21.24 Å³/atom. Its space group is Pm-3m.

---

Question: volume of number 8 (SrIrPd3)?
Answer: 22.76 Å³/atom